# 1
{"formula": "ScInO3", "functional": "PBE", "state": "optimized geometry", "formation_energy_uncorrected_ev_per_atom": -1.7690, "space_group": "Pm-3m", "cell": [[-1.8199, 3.3122, 1.3622], [-1.3712, 0.7671, -3.6973], [-3.3085, -2.1399, 0.7830]], "species": ["Sc", "O", "O", "O", "In"], "frac_coords": [[0.0000, 0.0000, 0.0000], [0.0000, 0.5000, 0.0000], [0.0000, 0.0000, 0.5000], [0.5000, 0.0000, 0.0000], [0.5000, 0.5000, 0.5000]]}

# 2
{"formula": "Sm2ScInO6", "functional": "PBE", "state": "optimized geometry", "formation_energy_uncorrected_ev_per_atom": -2.9925, "space_group": "P2_1/c", "cell": [[-4.6669, 2.9276, -0.9473], [0.0079, -1.7978, -5.5953], [-4.4655, -6.4951, 2.0806]], "species": ["Sm", "Sm", "Sm", "Sm", "Sc", "Sc", "In", "In", "O", "O", "O", "O", "O", "O", "O", "O", "O", "O", "O", "O"], "frac_coords": [[0.0198, 0.9390, 0.2482], [0.5198, 0.5610, 0.7482], [0.9802, 0.0610, 0.7518], [0.4802, 0.4390, 0.2518], [0.5000, 0.0000, 0.0000], [0.0000, 0.5000, 0.5000], [0.5000, 0.0000, 0.5000], [0.0000, 0.5000, 0.0000], [0.3112, 0.7009, 0.0692], [0.8112, 0.7991, 0.5692], [0.6888, 0.2991, 0.9308], [0.1888, 0.2009, 0.4308], [0.3027, 0.6907, 0.4364], [0.8027, 0.8093, 0.9364], [0.6973, 0.3093, 0.5636], [0.1973, 0.1907, 0.0636], [0.8731, 0.5546, 0.2551], [0.3731, 0.9454, 0.7551], [0.1269, 0.4454, 0.7449], [0.6269, 0.0546, 0.2449]]}

# 3
{"formula": "Sc4InSnO", "functional": "PBE", "state": "optimized geometry", "formation_energy_uncorrected_ev_per_atom": -1.2061, "space_group": "Cmcm", "cell": [[-1.4239, 0.9376, -5.8950], [-5.5209, -2.5084, 0.9345], [-2.1205, 6.4288, 4.7287]], "species": ["Sc", "Sc", "Sc", "Sc", "Sc", "Sc", "Sc", "Sc", "In", "In", "Sn", "Sn", "O", "O"], "frac_coords": [[0.9105, 0.2500, 0.8209], [0.4108, 0.7500, 0.8216], [0.0895, 0.7500, 0.1791], [0.5892, 0.2500, 0.1784], [0.5000, 0.5000, 0.5000], [0.0000, 0.0000, 0.5000], [0.5000, 0.0000, 0.5000], [0.0000, 0.5000, 0.5000], [0.6070, 0.7500, 0.2140], [0.3930, 0.2500, 0.7860], [0.1067, 0.2500, 0.2135], [0.8933, 0.7500, 0.7865], [0.2506, 0.7500, 0.5012], [0.7494, 0.2500, 0.4988]]}

# 4
{"formula": "ScIn2SnO6", "functional": "PBE", "state": "optimized geometry", "formation_energy_uncorrected_ev_per_atom": -1.9220, "space_group": "R3", "cell": [[-2.0302, 1.6375, -4.9296], [0.7798, -3.1630, -4.5270], [-4.6230, -2.8927, -2.2112]], "species": ["Sc", "In", "In", "Sn", "O", "O", "O", "O", "O", "O"], "frac_coords": [[0.8103, 0.8103, 0.5691], [0.5262, 0.5262, 0.4215], [0.0257, 0.0257, 0.9227], [0.3101, 0.3101, 0.0697], [0.6180, 0.2030, 0.2554], [0.2029, 0.9237, 0.2554], [0.9238, 0.6179, 0.2554], [0.4325, 0.7060, 0.7552], [0.7058, 0.1063, 0.7554], [0.1063, 0.4325, 0.7555]]}

# 5
{"formula": "SrScIn4O8", "functional": "PBE", "state": "optimized geometry", "formation_energy_uncorrected_ev_per_atom": -2.0097, "space_group": "R3m", "cell": [[-1.9596, -1.2621, 6.2915], [-5.7317, -3.2993, 1.1305], [0.1172, -6.2145, 2.3674]], "species": ["Sr", "Sc", "In", "In", "In", "In", "O", "O", "O", "O", "O", "O", "O", "O"], "frac_coords": [[0.3768, 0.3768, 0.8695], [0.0046, 0.0046, 0.9861], [0.6248, 0.6248, 0.1257], [0.0013, 0.4978, 0.4996], [0.4978, 0.0013, 0.4996], [0.0013, 0.0013, 0.4996], [0.2253, 0.8055, 0.7438], [0.8055, 0.2253, 0.7438], [0.2253, 0.2253, 0.7438], [0.2320, 0.2320, 0.3041], [0.7641, 0.2148, 0.2571], [0.2148, 0.7641, 0.2571], [0.7641, 0.7641, 0.2571], [0.7624, 0.7624, 0.7129]]}

# 6
{"formula": "Sr2ScInO", "functional": "PBE", "state": "optimized geometry", "formation_energy_uncorrected_ev_per_atom": -1.2650, "space_group": "P4/mmm", "cell": [[5.5651, 0.0000, 0.0000], [0.0000, 5.5651, 0.0000], [0.0000, 0.0000, 4.1901]], "species": ["Sc", "Sr", "Sr", "O", "In"], "frac_coords": [[0.0000, 0.0000, 0.5000], [0.0000, 0.5000, 0.0000], [0.5000, 0.0000, 0.0000], [0.0000, 0.0000, 0.0000], [0.5000, 0.5000, 0.5000]]}

Number 1: uncorrected energy -0.2410 Ha/atom, magnetic moment 0.00 μB/atom. Number 2: uncorrected energy -0.2873 Ha/atom, magnetic moment 0.00 μB/atom. Number 3: uncorrected energy -0.2387 Ha/atom, magnetic moment 0.00 μB/atom. Number 4: uncorrected energy -0.2381 Ha/atom, magnetic moment 0.00 μB/atom. Number 5: uncorrected energy -0.2278 Ha/atom, magnetic moment 0.00 μB/atom. Number 6: uncorrected energy -0.1743 Ha/atom, magnetic moment 0.03 μB/atom.